# 1
Ba2HgC2 | GGA-PBE | relaxed

Summary:
**Formation energy from the elements**: 184 meV/atom
**Space-group type**: I4/mmm, No. 139
**Mass density**: 6.09 Mg/m³
**Energy relative to the lowest polymorph listed for this composition**: 0.1731 eV/atom
**Total moment**: 0.00 μB/f.u.

a b c (Å): 5.854 5.854 7.945
angles (deg): 90.00 90.00 90.00
Element x y z (fractional)
Ba 0.000 0.500 0.250
Ba 0.000 0.500 0.750
Ba 0.500 0.000 0.250
Ba 0.500 0.000 0.750
Hg 0.000 0.000 0.000
Hg 0.500 0.500 0.500
C 0.000 0.000 0.420
C 0.000 0.000 0.580
C 0.500 0.500 0.080
C 0.500 0.500 0.920

=====

# 2
Ba3HgC | GGA-PBE | relaxed

Summary:
**Formation energy from the elements**: 265 meV/atom
**Space-group type**: Pm-3m, No. 221
**Mass density**: 5.44 Mg/m³
**Energy relative to the lowest polymorph listed for this composition**: 0.0000 eV/atom
**Total moment**: 1.22 μB/f.u.

a b c (Å): 5.754 5.754 5.754
angles (deg): 90.00 90.00 90.00
Element x y z (fractional)
Ba 0.000 0.000 0.500
Ba 0.000 0.500 0.000
Ba 0.500 0.000 0.000
Hg 0.500 0.500 0.500
C 0.000 0.000 0.000

=====

# 3
BaHgC2 | GGA-PBE | relaxed

Summary:
**Formation energy from the elements**: 1676 meV/atom
**Space-group type**: I-42d, No. 122
**Mass density**: 7.11 Mg/m³
**Total moment**: 0.00 μB/f.u.

a b c (Å): 4.817 4.817 14.568
angles (deg): 90.00 90.00 90.00
Element x y z (fractional)
Ba 0.000 0.000 0.000
Ba 0.000 0.500 0.250
Ba 0.500 0.000 0.750
Ba 0.500 0.500 0.500
Hg 0.000 0.000 0.500
Hg 0.000 0.500 0.750
Hg 0.500 0.000 0.250
Hg 0.500 0.500 0.000
C 0.101 0.250 0.625
C 0.250 0.601 0.875
C 0.250 0.899 0.375
C 0.399 0.250 0.125
C 0.601 0.750 0.125
C 0.750 0.101 0.375
C 0.750 0.399 0.875
C 0.899 0.750 0.625

=====

# 4
BaHgC | GGA-PBE | relaxed

Summary:
**Formation energy from the elements**: -122 meV/atom
**Space-group type**: Cm, No. 8
**Mass density**: 6.43 Mg/m³
**Total moment**: 0.00 μB/f.u.

a b c (Å): 8.404 4.408 10.311
angles (deg): 90.00 108.96 90.00
Element x y z (fractional)
Ba 0.000 0.000 0.000
Ba 0.083 0.500 0.641
Ba 0.500 0.500 0.000
Ba 0.583 0.000 0.641
Hg 0.164 0.000 0.393
Hg 0.285 0.500 0.249
Hg 0.664 0.500 0.393
Hg 0.785 0.000 0.249
C 0.238 0.000 0.852
C 0.343 0.000 0.785
C 0.738 0.500 0.852
C 0.843 0.500 0.785

=====

# 5
Ba2HgIrC | GGA-PBE | relaxed

Summary:
**Formation energy from the elements**: -218 meV/atom
**Space-group type**: P4/mmm, No. 123
**Mass density**: 8.12 Mg/m³
**Total moment**: 0.00 μB/f.u.

a b c (Å): 5.958 5.958 3.915
angles (deg): 90.00 90.00 90.00
Element x y z (fractional)
Ba 0.000 0.500 0.000
Ba 0.500 0.000 0.000
Hg 0.000 0.000 0.500
Ir 0.500 0.500 0.500
C 0.500 0.500 0.000

=====

# 6
BaLiHg2C | GGA-PBE | relaxed

Summary:
**Formation energy from the elements**: 1719 meV/atom
**Space-group type**: P4/mmm, No. 123
**Mass density**: 2.84 Mg/m³
**Energy relative to the lowest polymorph listed for this composition**: 1.2261 eV/atom
**Total moment**: 2.96 μB/f.u.

a b c (Å): 6.816 6.816 7.022
angles (deg): 90.00 90.00 90.00
Element x y z (fractional)
Ba 0.000 0.000 0.000
Li 0.000 0.000 0.500
Hg 0.000 0.500 0.000
Hg 0.500 0.000 0.000
C 0.500 0.500 0.500

=====

# 7
BaLiHg2C | GGA-PBE | relaxed

Summary:
**Formation energy from the elements**: 493 meV/atom
**Space-group type**: P4/mmm, No. 123
**Mass density**: 7.69 Mg/m³
**Energy relative to the lowest polymorph listed for this composition**: 0.0000 eV/atom
**Total moment**: 0.00 μB/f.u.

a b c (Å): 5.184 5.184 4.477
angles (deg): 90.00 90.00 90.00
Element x y z (fractional)
Ba 0.000 0.000 0.000
Li 0.500 0.500 0.000
Hg 0.000 0.500 0.500
Hg 0.500 0.000 0.500
C 0.500 0.500 0.500

=====

# 8
BaHgC2O6 | GGA-PBE | relaxed

Summary:
**Space-group type**: C2/c, No. 15
**Mass density**: 4.68 Mg/m³
**Total moment**: 0.00 μB/f.u.
**E_form (uncorrected)**: -1.57 eV/atom

a b c (Å): 7.124 7.124 7.268
angles (deg): 102.91 102.91 107.91
Element x y z (fractional)
Ba 0.163 0.837 0.750
Ba 0.837 0.163 0.250
Hg 0.371 0.629 0.250
Hg 0.629 0.371 0.750
C 0.159 0.377 0.800
C 0.377 0.159 0.300
C 0.623 0.841 0.700
C 0.841 0.623 0.200
O 0.011 0.361 0.652
O 0.230 0.560 0.947
O 0.242 0.244 0.812
O 0.244 0.242 0.312
O 0.361 0.011 0.152
O 0.440 0.770 0.553
O 0.560 0.230 0.447
O 0.639 0.989 0.848
O 0.756 0.758 0.688
O 0.758 0.756 0.188
O 0.770 0.440 0.053
O 0.989 0.639 0.348

=====

# 9
Ba2HgRhC | GGA-PBE | relaxed

Summary:
**Formation energy from the elements**: -145 meV/atom
**Space-group type**: P4/mmm, No. 123
**Mass density**: 7.02 Mg/m³
**Total moment**: 0.00 μB/f.u.

a b c (Å): 5.958 5.958 3.930
angles (deg): 90.00 90.00 90.00
Element x y z (fractional)
Ba 0.000 0.500 0.000
Ba 0.500 0.000 0.000
Hg 0.000 0.000 0.500
Rh 0.500 0.500 0.500
C 0.500 0.500 0.000

=====

# 10
BaTa2HgC | GGA-PBE | relaxed

Summary:
**Formation energy from the elements**: 3203 meV/atom
**Space-group type**: P4/mmm, No. 123
**Mass density**: 9.53 Mg/m³
**Total moment**: 0.00 μB/f.u.

a b c (Å): 5.306 5.306 4.406
angles (deg): 90.00 90.00 90.00
Element x y z (fractional)
Ba 0.000 0.000 0.000
Ta 0.000 0.500 0.000
Ta 0.500 0.000 0.000
Hg 0.500 0.500 0.500
C 0.000 0.000 0.500

=====

# 11
BaZr2HgC | GGA-PBE | relaxed

Summary:
**Formation energy from the elements**: 402 meV/atom
**Space-group type**: P4/mmm, No. 123
**Mass density**: 6.41 Mg/m³
**Total moment**: 0.97 μB/f.u.

a b c (Å): 4.573 4.573 6.598
angles (deg): 90.00 90.00 90.00
Element x y z (fractional)
Ba 0.000 0.000 0.000
Zr 0.000 0.500 0.500
Zr 0.500 0.000 0.500
Hg 0.500 0.500 0.000
C 0.500 0.500 0.500

=====

# 12
BaHo2C | GGA-PBE | relaxed

Summary:
**Formation energy from the elements**: -56 meV/atom
**Space-group type**: R-3m, No. 166
**Mass density**: 6.88 Mg/m³
**Total moment**: 0.00 μB/f.u.

a b c (Å): 3.617 3.617 30.624
angles (deg): 90.00 90.00 120.00
Element x y z (fractional)
Ba 0.000 0.000 0.000
Ba 0.333 0.667 0.667
Ba 0.667 0.333 0.333
Ho 0.000 0.000 0.123
Ho 0.000 0.000 0.877
Ho 0.333 0.667 0.543
Ho 0.333 0.667 0.790
Ho 0.667 0.333 0.210
Ho 0.667 0.333 0.457
C 0.000 0.000 0.500
C 0.333 0.667 0.167
C 0.667 0.333 0.833

=====

# 13
BaHo2C2N6 | GGA-PBE | relaxed

Summary:
**Space-group type**: C2/m, No. 12
**Mass density**: 5.60 Mg/m³
**Total moment**: 0.59 μB/f.u.
**E_form (uncorrected)**: -0.61 eV/atom

a b c (Å): 5.896 5.896 6.115
angles (deg): 111.35 111.35 62.46
Element x y z (fractional)
Ba 0.000 0.000 0.000
Ho 0.324 0.324 0.690
Ho 0.676 0.676 0.310
C 0.337 0.337 0.246
C 0.663 0.663 0.754
N 0.102 0.478 0.307
N 0.425 0.425 0.132
N 0.478 0.102 0.307
N 0.522 0.898 0.693
N 0.575 0.575 0.868
N 0.898 0.522 0.693

=====

# 14
BaC3I | GGA-PBE | relaxed

Summary:
**Space-group type**: Pm-3m, No. 221
**Mass density**: 3.47 Mg/m³
**Energy relative to the lowest polymorph listed for this composition**: 0.9659 eV/atom
**Total moment**: 5.05 μB/f.u.
**E_form (uncorrected)**: 3.47 eV/atom

a b c (Å): 5.236 5.236 5.236
angles (deg): 90.00 90.00 90.00
Element x y z (fractional)
Ba 0.000 0.000 0.000
C 0.000 0.000 0.500
C 0.000 0.500 0.000
C 0.500 0.000 0.000
I 0.500 0.500 0.500

=====

# 15
Ba2CI | GGA-PBE | relaxed

Summary:
**Space-group type**: Fm-3m, No. 225
**Mass density**: 5.37 Mg/m³
**Energy relative to the lowest polymorph listed for this composition**: 0.4162 eV/atom
**Total moment**: 1.00 μB/f.u.
**E_form (uncorrected)**: 0.29 eV/atom

a b c (Å): 7.999 7.999 7.999
angles (deg): 90.00 90.00 90.00
Element x y z (fractional)
Ba 0.250 0.250 0.250
Ba 0.250 0.250 0.750
Ba 0.250 0.750 0.250
Ba 0.250 0.750 0.750
Ba 0.750 0.250 0.250
Ba 0.750 0.250 0.750
Ba 0.750 0.750 0.250
Ba 0.750 0.750 0.750
C 0.000 0.000 0.000
C 0.000 0.500 0.500
C 0.500 0.000 0.500
C 0.500 0.500 0.000
I 0.000 0.000 0.500
I 0.000 0.500 0.000
I 0.500 0.000 0.000
I 0.500 0.500 0.500

=====

# 16
BaCI2 | GGA-PBE | relaxed

Summary:
**Space-group type**: I-42d, No. 122
**Mass density**: 4.27 Mg/m³
**Energy relative to the lowest polymorph listed for this composition**: 0.1288 eV/atom
**Total moment**: 0.00 μB/f.u.
**E_form (uncorrected)**: 0.64 eV/atom

a b c (Å): 6.248 6.248 16.046
angles (deg): 90.00 90.00 90.00
Element x y z (fractional)
Ba 0.000 0.000 0.000
Ba 0.000 0.500 0.250
Ba 0.500 0.000 0.750
Ba 0.500 0.500 0.500
C 0.000 0.000 0.500
C 0.000 0.500 0.750
C 0.500 0.000 0.250
C 0.500 0.500 0.000
I 0.142 0.250 0.625
I 0.250 0.642 0.875
I 0.250 0.858 0.375
I 0.358 0.250 0.125
I 0.642 0.750 0.125
I 0.750 0.142 0.375
I 0.750 0.358 0.875
I 0.858 0.750 0.625

=====

# 17
BaC3I | GGA-PBE | relaxed

Summary:
**Space-group type**: Pm-3m, No. 221
**Mass density**: 5.67 Mg/m³
**Energy relative to the lowest polymorph listed for this composition**: 0.0000 eV/atom
**Total moment**: 0.00 μB/f.u.
**E_form (uncorrected)**: 2.50 eV/atom

a b c (Å): 4.447 4.447 4.447
angles (deg): 90.00 90.00 90.00
Element x y z (fractional)
Ba 0.000 0.000 0.000
C 0.000 0.500 0.500
C 0.500 0.000 0.500
C 0.500 0.500 0.000
I 0.500 0.500 0.500

=====

# 18
Ba2CI | GGA-PBE | relaxed

Summary:
**Space-group type**: I-42d, No. 122
**Mass density**: 4.35 Mg/m³
**Energy relative to the lowest polymorph listed for this composition**: 0.0000 eV/atom
**Total moment**: 1.00 μB/f.u.
**E_form (uncorrected)**: -0.13 eV/atom

a b c (Å): 8.110 8.110 9.604
angles (deg): 90.00 90.00 90.00
Element x y z (fractional)
Ba 0.161 0.250 0.125
Ba 0.250 0.661 0.375
Ba 0.250 0.839 0.875
Ba 0.339 0.250 0.625
Ba 0.661 0.750 0.625
Ba 0.750 0.161 0.875
Ba 0.750 0.339 0.375
Ba 0.839 0.750 0.125
C 0.000 0.000 0.000
C 0.000 0.500 0.250
C 0.500 0.000 0.750
C 0.500 0.500 0.500
I 0.000 0.000 0.500
I 0.000 0.500 0.750
I 0.500 0.000 0.250
I 0.500 0.500 0.000

=====

# 19
BaCI2 | GGA-PBE | relaxed

Summary:
**Space-group type**: Fm-3m, No. 225
**Mass density**: 4.69 Mg/m³
**Energy relative to the lowest polymorph listed for this composition**: 0.0000 eV/atom
**Total moment**: 2.00 μB/f.u.
**E_form (uncorrected)**: 0.52 eV/atom

a b c (Å): 8.293 8.293 8.293
angles (deg): 90.00 90.00 90.00
Element x y z (fractional)
Ba 0.000 0.000 0.000
Ba 0.000 0.500 0.500
Ba 0.500 0.000 0.500
Ba 0.500 0.500 0.000
C 0.000 0.000 0.500
C 0.000 0.500 0.000
C 0.500 0.000 0.000
C 0.500 0.500 0.500
I 0.250 0.250 0.250
I 0.250 0.250 0.750
I 0.250 0.750 0.250
I 0.250 0.750 0.750
I 0.750 0.250 0.250
I 0.750 0.250 0.750
I 0.750 0.750 0.250
I 0.750 0.750 0.750

=====

# 20
KBaCI2 | GGA-PBE | relaxed

Summary:
**Space-group type**: P4/mmm, No. 123
**Mass density**: 3.83 Mg/m³
**Total moment**: 0.00 μB/f.u.
**E_form (uncorrected)**: 0.11 eV/atom

a b c (Å): 6.233 6.233 4.939
angles (deg): 90.00 90.00 90.00
Element x y z (fractional)
K 0.000 0.000 0.000
Ba 0.500 0.500 0.000
C 0.500 0.500 0.500
I 0.000 0.500 0.500
I 0.500 0.000 0.500

=====

# 21
Ba2NiCI | GGA-PBE | relaxed

Summary:
**Space-group type**: P4/mmm, No. 123
**Mass density**: 5.76 Mg/m³
**Total moment**: 0.00 μB/f.u.
**E_form (uncorrected)**: -0.38 eV/atom

a b c (Å): 6.022 6.022 3.757
angles (deg): 90.00 90.00 90.00
Element x y z (fractional)
Ba 0.000 0.500 0.000
Ba 0.500 0.000 0.000
Ni 0.000 0.000 0.500
C 0.000 0.000 0.000
I 0.500 0.500 0.500

=====

# 22
BaCI2O | GGA-PBE | relaxed

Summary:
**Space-group type**: P4/mmm, No. 123
**Mass density**: 3.33 Mg/m³
**Energy relative to the lowest polymorph listed for this composition**: 0.7612 eV/atom
**Total moment**: 0.00 μB/f.u.
**E_form (uncorrected)**: 1.01 eV/atom

a b c (Å): 6.820 6.820 4.495
angles (deg): 90.00 90.00 90.00
Element x y z (fractional)
Ba 0.000 0.000 0.000
C 0.500 0.500 0.500
I 0.000 0.500 0.000
I 0.500 0.000 0.000
O 0.000 0.000 0.500

=====

# 23
BaCI2O | GGA-PBE | relaxed

Summary:
**Space-group type**: P4/mmm, No. 123
**Mass density**: 5.44 Mg/m³
**Energy relative to the lowest polymorph listed for this composition**: 0.0000 eV/atom
**Total moment**: 0.00 μB/f.u.
**E_form (uncorrected)**: 0.25 eV/atom

a b c (Å): 5.861 5.861 3.721
angles (deg): 90.00 90.00 90.00
Element x y z (fractional)
Ba 0.000 0.000 0.000
C 0.500 0.500 0.500
I 0.000 0.500 0.500
I 0.500 0.000 0.500
O 0.500 0.500 0.000

=====

# 24
Ba2PtCI | GGA-PBE | relaxed

Summary:
**Space-group type**: P4/mmm, No. 123
**Mass density**: 6.98 Mg/m³
**Total moment**: 0.00 μB/f.u.
**E_form (uncorrected)**: -0.67 eV/atom

a b c (Å): 6.060 6.060 3.944
angles (deg): 90.00 90.00 90.00
Element x y z (fractional)
Ba 0.000 0.500 0.000
Ba 0.500 0.000 0.000
Pt 0.000 0.000 0.500
C 0.000 0.000 0.000
I 0.500 0.500 0.500

=====

# 25
BaRh2CI | GGA-PBE | relaxed

Summary:
**Space-group type**: P4/mmm, No. 123
**Mass density**: 6.96 Mg/m³
**Total moment**: 0.55 μB/f.u.
**E_form (uncorrected)**: 0.33 eV/atom

a b c (Å): 4.283 4.283 6.264
angles (deg): 90.00 90.00 90.00
Element x y z (fractional)
Ba 0.000 0.000 0.000
Rh 0.000 0.500 0.500
Rh 0.500 0.000 0.500
C 0.500 0.500 0.500
I 0.500 0.500 0.000

=====

# 26
Ba2RhCI | GGA-PBE | relaxed

Summary:
**Space-group type**: P4/mmm, No. 123
**Mass density**: 5.98 Mg/m³
**Total moment**: 0.00 μB/f.u.
**E_form (uncorrected)**: -0.49 eV/atom

a b c (Å): 6.019 6.019 3.961
angles (deg): 90.00 90.00 90.00
Element x y z (fractional)
Ba 0.000 0.500 0.000
Ba 0.500 0.000 0.000
Rh 0.000 0.000 0.500
C 0.000 0.000 0.000
I 0.500 0.500 0.500

=====

# 27
Ba2CSI | GGA-PBE | relaxed

Summary:
**Space-group type**: P4/mmm, No. 123
**Mass density**: 4.26 Mg/m³
**Total moment**: 0.00 μB/f.u.
**E_form (uncorrected)**: 0.26 eV/atom

a b c (Å): 6.339 6.339 4.319
angles (deg): 90.00 90.00 90.00
Element x y z (fractional)
Ba 0.000 0.500 0.000
Ba 0.500 0.000 0.000
C 0.000 0.000 0.500
S 0.500 0.500 0.500
I 0.000 0.000 0.000